# 1
Compound: MgMnTc
Source: Alexandria via LeMat-Bulk
Functional: PBE-GGA
Structure: optimized geometry

Calculated values
Space-group type: I4mm
Magnetization: 0.00 μB/f.u.
Calculated density: 6827 kg/m³
Total energy: -6.94 eV/atom
Energy of formation: 2.3 kcal/mol of atoms
Offset from the most stable computed form: 0 meV/atom

Cell lengths 5.3816, 5.3816, 5.3816 Å; angles 148.21, 148.21, 45.58 degrees
Element x y z (fractional)
Mg 0.0000 0.0000 0.0000
Mn 0.6789 0.6789 0.0000
Tc 0.3073 0.3073 0.0000

---

# 2
Compound: BiIO5
Source: Alexandria via LeMat-Bulk
Functional: PBE-GGA
Structure: optimized geometry

Calculated values
Space-group type: C2/c
Magnetization: 0.00 μB/f.u.
Calculated density: 6552 kg/m³
Total energy: -4.84 eV/atom

Cell lengths 5.6147, 5.6147, 7.7956 Å; angles 110.41, 110.41, 71.90 degrees
Element x y z (fractional)
Bi 0.0337 0.9663 0.7500
Bi 0.9663 0.0337 0.2500
I 0.5000 0.5000 0.0000
I 0.5000 0.5000 0.5000
O 0.2043 0.7786 0.0286
O 0.2214 0.7957 0.4714
O 0.2654 0.2870 0.3854
O 0.2870 0.2654 0.8854
O 0.4193 0.5807 0.7500
O 0.5807 0.4193 0.2500
O 0.7130 0.7346 0.1146
O 0.7346 0.7130 0.6146
O 0.7786 0.2043 0.5286
O 0.7957 0.2214 0.9714

---

# 3
Compound: Pr5Y7
Source: Alexandria via LeMat-Bulk
Functional: PBE-GGA
Structure: optimized geometry

Calculated values
Space-group type: C2/m
Magnetization: 0.02 μB/f.u.
Calculated density: 5322 kg/m³
Total energy: -5.59 eV/atom
Energy of formation: 3.9 kcal/mol of atoms
Offset from the most stable computed form: 170 meV/atom

Cell lengths 5.7074, 5.7074, 14.9441 Å; angles 101.44, 101.44, 60.92 degrees
Element x y z (fractional)
Pr 0.0000 0.0000 0.0000
Pr 0.1407 0.1407 0.4356
Pr 0.3917 0.3917 0.2010
Pr 0.6083 0.6083 0.7990
Pr 0.8593 0.8593 0.5644
Y 0.0606 0.0606 0.2149
Y 0.2320 0.2320 0.6720
Y 0.3105 0.3105 0.9172
Y 0.5000 0.5000 0.5000
Y 0.6895 0.6895 0.0828
Y 0.7680 0.7680 0.3280
Y 0.9394 0.9394 0.7851